No. 1
# SrCr2InTc, relaxed, DFT GGA-PBE
# **SG**: No. 123
# **Formation enthalpy at 0 K**: 2.463 eV/atom
data_SrCr2InTc
_cell_length_a 4.806
_cell_length_b 5.594
_cell_length_c 4.806
_cell_angle_alpha 90.00
_cell_angle_beta 90.00
_cell_angle_gamma 90.00
_symmetry_space_group_name_H-M 'P 1'
_symmetry_Int_Tables_number 1
loop_
_symmetry_equiv_pos_as_xyz
'x,y,z'
loop_
_atom_site_label
_atom_site_type_symbol
_atom_site_fract_x
_atom_site_fract_y
_atom_site_fract_z
Cr1 Cr 0.000 0.000 0.500
Cr2 Cr 0.500 0.000 0.000
Sr1 Sr 0.000 0.500 0.000
Tc1 Tc 0.500 0.500 0.500
In1 In 0.000 0.000 0.000

No. 2
# LiLuTlSn, relaxed, DFT GGA-PBE
# **SG**: No. 216
# **Formation enthalpy at 0 K**: -0.334 eV/atom
data_LiLuTlSn
_cell_length_a 5.144
_cell_length_b 5.144
_cell_length_c 5.144
_cell_angle_alpha 60.00
_cell_angle_beta 60.00
_cell_angle_gamma 60.00
_symmetry_space_group_name_H-M 'P 1'
_symmetry_Int_Tables_number 1
loop_
_symmetry_equiv_pos_as_xyz
'x,y,z'
loop_
_atom_site_label
_atom_site_type_symbol
_atom_site_fract_x
_atom_site_fract_y
_atom_site_fract_z
Tl1 Tl 0.750 0.750 0.750
Lu1 Lu 0.000 0.000 0.000
Sn1 Sn 0.250 0.250 0.250
Li1 Li 0.500 0.500 0.500